[1]
LiVNi6 | PBE | relaxed

Properties
raw total energy: -374.467 eV/cell
ρ: 7701 kg/m³
V: 11.1 Å³ per atom
energy relative to the elements: -0.14 eV/atom

Cell: 7.059 10.005 10.015 Å, 90.00 90.00 90.00°
Space group Cmmm (No. 65)
Inequivalent atoms, fractional coordinates:
Li 0.000 0.000 0.248 (multiplicity 4)
Li 0.000 0.252 0.000 (multiplicity 4)
V 0.000 0.252 0.500 (multiplicity 4)
V 0.000 0.500 0.243 (multiplicity 4)
Ni 0.000 0.000 0.000 (multiplicity 2)
Ni 0.000 0.000 0.500 (multiplicity 2)
Ni 0.000 0.252 0.251 (multiplicity 8)
Ni 0.000 0.500 0.000 (multiplicity 2)
Ni 0.000 0.500 0.500 (multiplicity 2)
Ni 0.249 0.375 0.125 (multiplicity 16)
Ni 0.249 0.375 0.376 (multiplicity 16)

[2]
SrTl2Cd | PBE | relaxed

Properties
raw total energy: -16.348 eV/cell
ρ: 8177 kg/m³
V: 30.9 Å³ per atom
energy relative to the elements: -0.21 eV/atom

Cell: 4.494 5.557 9.901 Å, 90.00 90.00 90.00°
Space group Immm (No. 71)
Inequivalent atoms, fractional coordinates:
Sr 0.000 0.000 0.000 (multiplicity 2)
Tl 0.000 0.500 0.228 (multiplicity 4)
Cd 0.000 0.000 0.500 (multiplicity 2)

[3]
Ce12ZnPt6 | PBE | relaxed

Properties
raw total energy: -355.484 eV/cell
ρ: 8812 kg/m³
V: 28.9 Å³ per atom
energy relative to the elements: -0.51 eV/atom

Cell: 12.4213 12.4213 12.3420 Å, 90.00 90.00 120.00°
Space group R-3 (No. 148, hexagonal axes)
Inequivalent atoms, fractional coordinates:
Ce 0.0231 0.8138 0.3963 (multiplicity 18)
Ce 0.0711 0.8494 0.8755 (multiplicity 18)
Zn 0.0000 0.0000 0.0000 (multiplicity 3)
Pt 0.0384 0.7684 0.6387 (multiplicity 18)

[4]
Si2NiIr | PBE | relaxed

Properties
raw total energy: -106.848 eV/cell
ρ: 10089 kg/m³
V: 12.6 Å³ per atom
ΔE_f (raw): -306 meV per atom

Cell: 5.869 5.869 5.869 Å, 90.00 90.00 90.00°
Space group Fm-3m (No. 225)
Inequivalent atoms, fractional coordinates:
Si 0.250 0.250 0.250 (multiplicity 8)
Ni 0.000 0.000 0.000 (multiplicity 4)
Ir 0.000 0.000 0.500 (multiplicity 4)

[5]
YZrPd14 | PBE | relaxed

Properties
raw total energy: -94.196 eV/cell
ρ: 10654 kg/m³
V: 16.3 Å³ per atom
energy relative to the elements: -0.41 eV/atom

Cell: 5.725 5.725 7.941 Å, 90.00 90.00 90.00°
Space group P4/mmm (No. 123)
Inequivalent atoms, fractional coordinates:
Y 0.000 0.000 0.000 (multiplicity 1)
Zr 0.500 0.500 0.000 (multiplicity 1)
Pd 0.000 0.000 0.500 (multiplicity 1)
Pd 0.000 0.500 0.000 (multiplicity 2)
Pd 0.000 0.500 0.500 (multiplicity 2)
Pd 0.254 0.254 0.254 (multiplicity 8)
Pd 0.500 0.500 0.500 (multiplicity 1)

[6]
Ti4HRh | PBE | relaxed

Properties
raw total energy: -87.343 eV/cell
ρ: 5718 kg/m³
V: 14.3 Å³ per atom

Cell: 5.349 5.112 6.509 Å, 90.00 105.42 90.00°
Space group P2_1/c (No. 14)
Inequivalent atoms, fractional coordinates:
Ti 0.090 0.139 0.197 (multiplicity 4)
Ti 0.332 0.605 0.122 (multiplicity 4)
H 0.000 0.000 0.500 (multiplicity 2)
Rh 0.500 0.000 0.000 (multiplicity 2)

[7]
Pd2Pb | PBE | relaxed

Properties
raw total energy: -29.290 eV/cell
ρ: 12404 kg/m³
V: 18.7 Å³ per atom
energy relative to the elements: -0.18 eV/atom

Cell: 7.799 4.525 3.187 Å, 90.00 90.60 90.00°
Space group C2/m (No. 12)
Inequivalent atoms, fractional coordinates:
Pd 0.167 0.000 0.295 (multiplicity 4)
Pb 0.000 0.500 0.000 (multiplicity 2)

[8]
CdIn2Au | PBE | relaxed

Properties
raw total energy: -19.869 eV/cell
ρ: 9443 kg/m³
V: 23.7 Å³ per atom
energy relative to the elements: -0.07 eV/atom

Cell: 8.981 3.483 6.212 Å, 90.00 102.68 90.00°
Space group C2/m (No. 12)
Inequivalent atoms, fractional coordinates:
Cd 0.000 0.000 0.000 (multiplicity 2)
In 0.243 0.000 0.729 (multiplicity 4)
Au 0.000 0.500 0.500 (multiplicity 2)

[9]
KNp2Cl8 | PBE | relaxed

Properties
raw total energy: -121.710 eV/cell
ρ: 4535 kg/m³
V: 26.5 Å³ per atom
ΔE_f (raw): -1737 meV per atom

Cell: 8.541 12.725 5.451 Å, 90.00 100.01 90.00°
Space group C2/m (No. 12)
Inequivalent atoms, fractional coordinates:
K 0.000 0.000 0.000 (multiplicity 2)
Np 0.000 0.321 0.500 (multiplicity 4)
Cl 0.000 0.262 0.000 (multiplicity 4)
Cl 0.099 0.500 0.776 (multiplicity 4)
Cl 0.191 0.138 0.575 (multiplicity 8)

[10]
Pr8Zn2Pd | PBE | relaxed

Properties
raw total energy: -96.520 eV/cell
ρ: 6835 kg/m³
V: 30.1 Å³ per atom
energy relative to the elements: -0.21 eV/atom

Cell: 18.511 5.252 6.957 Å, 90.00 101.45 90.00°
Space group C2/m (No. 12)
Inequivalent atoms, fractional coordinates:
Pr 0.027 0.000 0.275 (multiplicity 4)
Pr 0.091 0.500 0.947 (multiplicity 4)
Pr 0.159 0.500 0.462 (multiplicity 4)
Pr 0.201 0.000 0.817 (multiplicity 4)
Zn 0.193 0.000 0.244 (multiplicity 4)
Pd 0.000 0.500 0.500 (multiplicity 2)

[11]
YAl2In | PBE | relaxed

Properties
raw total energy: -35.362 eV/cell
ρ: 4828 kg/m³
V: 22.2 Å³ per atom
energy relative to the elements: -0.25 eV/atom

Cell: 4.333 4.333 9.441 Å, 90.00 90.00 90.00°
Space group I4/mmm (No. 139)
Inequivalent atoms, fractional coordinates:
Y 0.000 0.000 0.000 (multiplicity 2)
Al 0.000 0.500 0.250 (multiplicity 4)
In 0.000 0.000 0.500 (multiplicity 2)

[12]
SrLa2Cd | PBE | relaxed

Properties
raw total energy: -48.593 eV/cell
ρ: 5730 kg/m³
V: 34.6 Å³ per atom
energy relative to the elements: 0.08 eV/atom

Cell: 8.212 8.212 8.212 Å, 90.00 90.00 90.00°
Space group F-43m (No. 216)
Inequivalent atoms, fractional coordinates:
Sr 0.000 0.000 0.000 (multiplicity 4)
La 0.000 0.000 0.500 (multiplicity 4)
La 0.250 0.250 0.250 (multiplicity 4)
Cd 0.250 0.250 0.750 (multiplicity 4)

[13]
Tl6GaSb2 | PBE | relaxed

Properties
raw total energy: -74.741 eV/cell
ρ: 9118 kg/m³
V: 31.2 Å³ per atom
ΔE_f (raw): 62 meV per atom

Cell: 5.4740 5.4740 32.4127 Å, 90.00 90.00 120.00°
Space group R-3m (No. 166, hexagonal axes)
Inequivalent atoms, fractional coordinates:
Tl 0.0000 0.0000 0.0565 (multiplicity 6)
Tl 0.0000 0.0000 0.1968 (multiplicity 6)
Tl 0.0000 0.0000 0.3094 (multiplicity 6)
Ga 0.0000 0.0000 0.5000 (multiplicity 3)
Sb 0.0000 0.0000 0.4162 (multiplicity 6)

[14]
HgMoW2 | PBE | relaxed

Properties
raw total energy: -69.030 eV/cell
ρ: 16288 kg/m³
V: 16.9 Å³ per atom
energy relative to the elements: 0.63 eV/atom

Cell: 5.691 8.529 2.790 Å, 90.00 90.00 90.00°
Space group Cmmm (No. 65)
Inequivalent atoms, fractional coordinates:
Hg 0.000 0.000 0.000 (multiplicity 2)
Mo 0.000 0.500 0.000 (multiplicity 2)
W 0.250 0.250 0.500 (multiplicity 4)

[15]
CaBeBr2 | PBE | relaxed

Properties
raw total energy: -34.877 eV/cell
ρ: 2061 kg/m³
V: 42.1 Å³ per atom
ΔE_f (raw): -638 meV per atom

Cell: 4.2139 4.2139 32.8297 Å, 90.00 90.00 120.00°
Space group R-3m (No. 166, hexagonal axes)
Inequivalent atoms, fractional coordinates:
Ca 0.0000 0.0000 0.0000 (multiplicity 3)
Be 0.0000 0.0000 0.5000 (multiplicity 3)
Br 0.0000 0.0000 0.3821 (multiplicity 6)

[16]
TbSm12Tl6 | PBE | relaxed

Properties
raw total energy: -225.050 eV/cell
ρ: 8121 kg/m³
V: 34.3 Å³ per atom
energy relative to the elements: 0.02 eV/atom

Cell: 14.1100 14.1100 11.3475 Å, 90.00 90.00 120.00°
Space group R-3m (No. 166, hexagonal axes)
Inequivalent atoms, fractional coordinates:
Tb 0.0000 0.0000 0.0000 (multiplicity 3)
Sm 0.0000 0.3833 0.5000 (multiplicity 18)
Sm 0.0873 0.1745 0.3468 (multiplicity 18)
Tl 0.0286 0.5143 0.2608 (multiplicity 18)

[17]
CaIrPb2 | PBE | relaxed

Properties
raw total energy: -73.739 eV/cell
ρ: 11804 kg/m³
V: 22.7 Å³ per atom
energy relative to the elements: -0.04 eV/atom

Cell: 7.139 7.139 7.139 Å, 90.00 90.00 90.00°
Space group Fm-3m (No. 225)
Inequivalent atoms, fractional coordinates:
Ca 0.000 0.000 0.000 (multiplicity 4)
Ir 0.000 0.000 0.500 (multiplicity 4)
Pb 0.250 0.250 0.250 (multiplicity 8)

[18]
AgSe5 | PBE | relaxed

Properties
raw total energy: -65.393 eV/cell
ρ: 6335 kg/m³
V: 22.0 Å³ per atom
ΔE_f (raw): 654 meV per atom

Cell: 8.078 8.078 8.078 Å, 90.00 90.00 90.00°
Space group F-43m (No. 216)
Inequivalent atoms, fractional coordinates:
Ag 0.000 0.000 0.000 (multiplicity 4)
Se 0.122 0.122 0.378 (multiplicity 16)
Se 0.250 0.250 0.750 (multiplicity 4)

[19]
Zr7Os6 | PBE | relaxed

Properties
raw total energy: -359.647 eV/cell
ρ: 12156 kg/m³
V: 18.7 Å³ per atom
energy relative to the elements: 0.56 eV/atom

Cell: 5.6192 5.6192 26.6742 Å, 90.00 90.00 120.00°
Space group R-3m (No. 166, hexagonal axes)
Inequivalent atoms, fractional coordinates:
Zr 0.0000 0.0000 0.0000 (multiplicity 3)
Zr 0.0069 0.5035 0.4165 (multiplicity 18)
Os 0.0000 0.0000 0.1669 (multiplicity 6)
Os 0.0000 0.0000 0.3512 (multiplicity 6)
Os 0.0000 0.0000 0.4527 (multiplicity 6)

[20]
Pu2GaSi2Ir5 | PBE | relaxed

Properties
raw total energy: -184.750 eV/cell
ρ: 15698 kg/m³
V: 16.7 Å³ per atom
ΔE_f (raw): -553 meV per atom

Cell: 9.649 9.649 3.579 Å, 90.00 90.00 90.00°
Space group P4/mbm (No. 127)
Inequivalent atoms, fractional coordinates:
Pu 0.176 0.324 0.000 (multiplicity 4)
Ga 0.000 0.000 0.000 (multiplicity 2)
Si 0.124 0.624 0.000 (multiplicity 4)
Ir 0.000 0.500 0.500 (multiplicity 2)
Ir 0.066 0.791 0.500 (multiplicity 8)